{
  "formula": "Si2Ag2Rh",
  "functional": "GGA-PBE",
  "state": "relaxed",
  "cell": [[-1.920, -6.032, 1.437], [-5.566, -2.325, 2.396], [2.806, 3.892, -4.372]],
  "species": ["Ag", "Ag", "Rh", "Si", "Si"],
  "fractional_positions": [[0.750, 0.250, 0.500], [0.250, 0.750, 0.500], [0.000, 0.000, 0.000], [0.593, 0.593, 0.000], [0.407, 0.407, 0.000]],
  "de_polymorph_mev_per_atom": 418.8,
  "e_form_raw_ev_per_atom": 0.344,
  "space_group": "No. 139",
  "n_ef_per_ev_cell": 2.4
}